Entry 1:
SrY2Si | Alexandria via LeMat-Bulk | PBE | relaxed; formation energy from raw total energies = -0.112 eV per atom; total energy = -20.48 eV for the cell shown; theoretical density = 4.1 g/cm3; total magnetization = 0.0 μB per formula unit; DOS(E_F) = 1.012 states/eV per atom
1.0
-2.001 2.538 5.901
2.001 -2.538 5.901
2.001 2.538 -5.901
Sr Y Si
1 2 1
direct
0.000 0.000 0.000
0.398 0.398 0.000
0.702 0.202 0.500
0.222 0.722 0.500


Entry 2:
Tl2RuWAu | Alexandria via LeMat-Bulk | PBE | relaxed; total energy = -19.75 eV for the cell shown; theoretical density = 10.8 g/cm3; total magnetization = 2.9 μB per formula unit; formation energy = 2.099 eV per atom; DOS(E_F) = 2.185 states/eV per atom
1.0
5.164 0.000 0.000
0.000 5.164 0.000
0.000 0.000 5.138
Tl Ru W Au
2 1 1 1
direct
0.000 0.500 0.000
0.500 0.000 0.000
0.000 0.000 0.500
0.500 0.500 0.500
0.500 0.500 0.000


Entry 3:
Sn2S3 | Alexandria via LeMat-Bulk | PBE | relaxed; formation energy from raw total energies = -0.349 eV per atom; total energy = -44.27 eV for the cell shown; theoretical density = 4.3 g/cm3; total magnetization = 0.0 μB per formula unit
1.0
8.026 0.000 0.000
0.000 3.787 0.000
-1.460 0.000 8.478
Sn S
4 6
direct
0.102 0.250 0.340
0.329 0.750 0.871
0.671 0.250 0.129
0.898 0.750 0.660
0.122 0.250 0.903
0.197 0.750 0.560
0.454 0.750 0.171
0.546 0.250 0.829
0.803 0.250 0.440
0.878 0.750 0.097


Entry 4:
La3PmZn8 | Alexandria via LeMat-Bulk | PBE | relaxed; total energy = -33.50 eV for the cell shown; theoretical density = 7.1 g/cm3; total magnetization = 0.0 μB per formula unit; formation energy = -0.315 eV per atom; DOS(E_F) = 0.492 states/eV per atom
1.0
5.745 0.000 0.000
-2.873 4.976 0.000
0.000 0.000 8.821
La Pm Zn
3 1 8
direct
0.000 0.000 0.000
0.000 0.000 0.399
0.333 0.667 0.898
0.333 0.667 0.507
0.344 0.172 0.699
0.502 0.003 0.204
0.502 0.498 0.204
0.667 0.333 0.449
0.667 0.333 0.954
0.828 0.172 0.699
0.828 0.656 0.699
0.997 0.498 0.204


Entry 5:
Sr5PuP4 | Alexandria via LeMat-Bulk | PBE | relaxed; total energy = -53.35 eV for the cell shown; theoretical density = 4.0 g/cm3; total magnetization = 5.9 μB per formula unit; formation energy = -0.897 eV per atom; DOS(E_F) = 1.550 states/eV per atom
1.0
9.394 -2.181 0.000
9.394 2.181 0.000
-2.072 0.000 8.225
Sr Pu P
5 1 4
direct
0.000 0.000 0.000
0.331 0.331 0.639
0.341 0.341 0.176
0.659 0.659 0.824
0.669 0.669 0.361
0.000 0.000 0.500
0.162 0.162 0.597
0.497 0.497 0.731
0.503 0.503 0.269
0.838 0.838 0.403


Entry 6:
RbTeP | Alexandria via LeMat-Bulk | PBE | relaxed; formation energy from raw total energies = -0.241 eV per atom; total energy = -10.24 eV for the cell shown; theoretical density = 3.5 g/cm3; total magnetization = 0.0 μB per formula unit; DOS(E_F) = 0.339 states/eV per atom
1.0
-2.201 3.330 3.971
2.201 -3.330 3.971
2.201 3.330 -3.971
Rb Te P
1 1 1
direct
0.000 0.000 0.000
0.494 0.494 0.000
0.657 0.157 0.500


Entry 7:
AgPd6Pt3 | Alexandria via LeMat-Bulk | PBE | relaxed; total energy = -49.44 eV for the cell shown; theoretical density = 13.2 g/cm3; total magnetization = 0.0 μB per formula unit; formation energy = 0.269 eV per atom; DOS(E_F) = 1.436 states/eV per atom
1.0
5.200 0.000 0.000
-2.600 4.503 0.000
0.000 0.000 7.147
Ag Pd Pt
1 6 3
direct
0.000 0.000 0.000
0.000 0.472 0.816
0.000 0.528 0.184
0.472 0.000 0.816
0.472 0.472 0.184
0.528 0.000 0.184
0.528 0.528 0.816
0.000 0.000 0.500
0.333 0.667 0.500
0.667 0.333 0.500


Entry 8:
Tm12Mg2Sc5 | Alexandria via LeMat-Bulk | PBE | relaxed; total energy = -85.81 eV for the cell shown; theoretical density = 7.0 g/cm3; total magnetization = 0.0 μB per formula unit; formation energy = 0.142 eV per atom; DOS(E_F) = 1.363 states/eV per atom
1.0
7.773 -4.207 0.000
7.773 4.207 0.000
-0.534 0.000 8.379
Tm Mg Sc
12 2 5
direct
0.049 0.049 0.251
0.087 0.694 0.398
0.118 0.517 0.772
0.306 0.913 0.602
0.347 0.347 0.126
0.483 0.882 0.228
0.517 0.118 0.772
0.653 0.653 0.874
0.694 0.087 0.398
0.882 0.483 0.228
0.913 0.306 0.602
0.951 0.951 0.749
0.287 0.713 0.000
0.713 0.287 0.000
0.156 0.156 0.931
0.260 0.260 0.439
0.500 0.500 0.500
0.740 0.740 0.561
0.844 0.844 0.069


Entry 9:
AcAlZn2Ge | Alexandria via LeMat-Bulk | PBE | relaxed; total energy = -17.15 eV for the cell shown; theoretical density = 7.2 g/cm3; total magnetization = 0.0 μB per formula unit; formation energy = -0.427 eV per atom; DOS(E_F) = 0.334 states/eV per atom
1.0
-2.207 2.212 5.414
2.207 -2.212 5.414
2.207 2.212 -5.414
Ac Al Zn Ge
1 1 2 1
direct
0.000 0.000 0.000
0.250 0.750 0.500
0.627 0.627 0.000
0.747 0.247 0.500
0.390 0.390 0.000


Entry 10:
CsSbTe2W | Alexandria via LeMat-Bulk | PBE | relaxed; formation energy from raw total energies = 2.364 eV per atom; total energy = -12.39 eV for the cell shown; theoretical density = 4.6 g/cm3; total magnetization = 2.6 μB per formula unit; DOS(E_F) = 1.487 states/eV per atom
1.0
6.312 0.000 0.000
0.000 6.312 0.000
0.000 0.000 6.233
Cs Sb Te W
1 1 2 1
direct
0.000 0.000 0.000
0.000 0.000 0.500
0.000 0.500 0.000
0.500 0.000 0.000
0.500 0.500 0.500


Entry 11:
LiInOs2 | Alexandria via LeMat-Bulk | PBE | relaxed; total energy = -24.76 eV for the cell shown; theoretical density = 13.9 g/cm3; total magnetization = 0.0 μB per formula unit; formation energy = 0.589 eV per atom; DOS(E_F) = 0.560 states/eV per atom
1.0
3.160 0.000 0.000
0.000 3.160 0.000
0.000 0.000 6.019
Li In Os
1 1 2
direct
0.000 0.000 0.000
0.000 0.000 0.500
0.500 0.500 0.201
0.500 0.500 0.799


Entry 12:
La2ScMo | Alexandria via LeMat-Bulk | PBE | relaxed; total energy = -25.41 eV for the cell shown; theoretical density = 6.9 g/cm3; total magnetization = 0.0 μB per formula unit; formation energy = 0.401 eV per atom; DOS(E_F) = 1.498 states/eV per atom
1.0
-2.457 2.457 4.175
2.457 -2.457 4.175
2.457 2.457 -4.175
La Sc Mo
2 1 1
direct
0.000 0.000 0.000
0.750 0.250 0.500
0.500 0.500 0.000
0.250 0.750 0.500


Entry 13:
Ti5Mn4Cu | Alexandria via LeMat-Bulk | PBE | relaxed; total energy = -82.56 eV for the cell shown; theoretical density = 6.4 g/cm3; total magnetization = 1.5 μB per formula unit; formation energy = -0.231 eV per atom; DOS(E_F) = 0.912 states/eV per atom
1.0
3.003 0.000 0.000
0.000 3.003 0.000
0.000 0.000 15.048
Ti Mn Cu
5 4 1
direct
0.000 0.000 0.000
0.000 0.000 0.198
0.000 0.000 0.389
0.000 0.000 0.611
0.000 0.000 0.802
0.500 0.500 0.099
0.500 0.500 0.300
0.500 0.500 0.700
0.500 0.500 0.901
0.500 0.500 0.500


Entry 14:
CaInTe3 | Alexandria via LeMat-Bulk | PBE | relaxed; formation energy from raw total energies = -0.106 eV per atom; total energy = -14.70 eV for the cell shown; theoretical density = 4.3 g/cm3; total magnetization = 0.0 μB per formula unit; DOS(E_F) = 1.567 states/eV per atom
1.0
5.909 0.000 0.000
0.000 5.909 0.000
0.000 0.000 5.909
Ca In Te
1 1 3
direct
0.000 0.000 0.000
0.500 0.500 0.500
0.000 0.000 0.500
0.000 0.500 0.000
0.500 0.000 0.000


Entry 15:
La2TmAl2 | Alexandria via LeMat-Bulk | PBE | relaxed; total energy = -22.70 eV for the cell shown; theoretical density = 5.9 g/cm3; total magnetization = 0.0 μB per formula unit; formation energy = -0.177 eV per atom; DOS(E_F) = 1.003 states/eV per atom
1.0
6.312 -1.791 0.000
6.312 1.791 0.000
-1.101 0.000 6.232
La Tm Al
2 1 2
direct
0.126 0.126 0.071
0.874 0.874 0.929
0.500 0.500 0.500
0.201 0.201 0.610
0.799 0.799 0.390


Entry 16:
CrFeAg | Alexandria via LeMat-Bulk | PBE | relaxed; total energy = -19.60 eV for the cell shown; theoretical density = 8.6 g/cm3; total magnetization = 1.8 μB per formula unit; formation energy = 0.446 eV per atom; DOS(E_F) = 1.065 states/eV per atom
1.0
0.000 2.138 6.463
1.504 0.000 6.463
1.504 2.138 0.000
Cr Fe Ag
1 1 1
direct
0.000 0.000 0.000
0.639 0.639 0.361
0.318 0.318 0.682


Entry 17:
Ca2MgTe | Alexandria via LeMat-Bulk | PBE | relaxed; formation energy from raw total energies = -0.657 eV per atom; total energy = -11.37 eV for the cell shown; theoretical density = 3.1 g/cm3; total magnetization = 0.0 μB per formula unit; DOS(E_F) = 0.771 states/eV per atom
1.0
4.651 0.000 0.000
0.000 4.390 0.000
-2.324 0.000 6.141
Ca Mg Te
2 1 1
direct
0.000 0.000 0.000
0.292 0.500 0.583
0.731 0.000 0.461
0.557 0.500 0.114


Entry 18:
TlZn2InI6 | Alexandria via LeMat-Bulk | PBE | relaxed; formation energy from raw total energies = -0.536 eV per atom; total energy = -44.62 eV for the cell shown; theoretical density = 4.1 g/cm3; total magnetization = 0.0 μB per formula unit; DOS(E_F) = 0.000 states/eV per atom
1.0
5.402 -8.292 0.000
5.402 8.292 0.000
-2.122 0.000 10.968
Tl Zn In I
2 4 2 12
direct
0.081 0.919 0.750
0.919 0.081 0.250
0.184 0.482 0.676
0.482 0.184 0.176
0.518 0.816 0.824
0.816 0.518 0.324
0.445 0.555 0.250
0.555 0.445 0.750
0.049 0.464 0.315
0.167 0.220 0.591
0.220 0.167 0.091
0.331 0.575 0.914
0.425 0.669 0.586
0.464 0.049 0.815
0.536 0.951 0.185
0.575 0.331 0.414
0.669 0.425 0.086
0.780 0.833 0.909
0.833 0.780 0.409
0.951 0.536 0.685


Entry 19:
SmEr4Tm10 | Alexandria via LeMat-Bulk | PBE | relaxed; total energy = -56.68 eV for the cell shown; theoretical density = 7.6 g/cm3; total magnetization = 0.0 μB per formula unit; formation energy = 0.734 eV per atom; DOS(E_F) = 1.055 states/eV per atom
1.0
-6.000 6.000 3.792
6.000 -6.000 3.792
6.000 6.000 -3.792
Sm Er Tm
1 4 10
direct
0.000 0.000 0.000
0.199 0.401 0.599
0.401 0.801 0.202
0.599 0.199 0.798
0.801 0.599 0.401
0.051 0.353 0.900
0.151 0.051 0.698
0.250 0.750 0.500
0.353 0.453 0.302
0.453 0.151 0.100
0.547 0.849 0.900
0.647 0.547 0.698
0.750 0.250 0.500
0.849 0.949 0.302
0.949 0.647 0.100


Entry 20:
PrZnGaIr | Alexandria via LeMat-Bulk | PBE | relaxed; total energy = -20.05 eV for the cell shown; theoretical density = 9.2 g/cm3; total magnetization = 0.0 μB per formula unit; formation energy = -0.527 eV per atom; DOS(E_F) = 0.678 states/eV per atom
1.0
2.195 1.267 5.049
-2.195 1.267 5.049
0.000 -2.534 5.049
Pr Zn Ga Ir
1 1 1 1
direct
0.000 0.000 0.000
0.797 0.797 0.797
0.538 0.538 0.538
0.196 0.196 0.196